(1)
DFT (GGA-PBE) results for a relaxed PmSmHgRh crystal.

As for the formation energy: -0.540 eV per atom.

It has space group F-43m (No. 216), with a = 7.3107 Å, b = 7.3107 Å, c = 7.3107 Å, α = 90.00°, β = 90.00° and γ = 90.00°. The asymmetric unit holds Pm at (0.0000, 0.0000, 0.0000), Sm at (0.0000, 0.0000, 0.5000), Hg at (0.2500, 0.2500, 0.7500) and Rh at (0.2500, 0.2500, 0.2500).



(2)
DFT (GGA-PBE) results for a relaxed SrOsC3 crystal.

As for the formation energy: 1.095 eV per atom.

It has space group Pm-3m (No. 221), with a = 4.0621 Å, b = 4.0621 Å, c = 4.0621 Å, α = 90.00°, β = 90.00° and γ = 90.00°. The asymmetric unit holds Sr at (0.0000, 0.0000, 0.0000), Os at (0.5000, 0.5000, 0.5000) and C at (0.0000, 0.5000, 0.5000).



(3)
DFT (GGA-PBE) results for a relaxed In3Hg7 crystal.

As for the formation energy: 0.021 eV per atom.

It has space group P6_3mc (No. 186), with a = 10.2852 Å, b = 10.2852 Å, c = 5.9682 Å, α = 90.00°, β = 90.00° and γ = 120.00°. The asymmetric unit holds In at (0.1991, 0.3982, 0.0000), Hg at (0.0670, 0.5335, 0.3431), Hg at (0.1122, 0.2243, 0.5223) and Hg at (0.3333, 0.6667, 0.6718).



(4)
DFT (GGA-PBE) results for a relaxed ZnTeAu2 crystal.

As for the formation energy (no corrections): 0.127 eV per atom.

It has space group P4/mmm (No. 123), with a = 4.2138 Å, b = 4.2138 Å, c = 4.5209 Å, α = 90.00°, β = 90.00° and γ = 90.00°. The asymmetric unit holds Zn at (0.0000, 0.0000, 0.0000), Te at (0.5000, 0.5000, 0.0000) and Au at (0.0000, 0.5000, 0.5000).



no.,calculated density (g cm⁻³),uncorrected energy (eV per atom),M_tot (μB per cell)
1,10.18,-4.82,0.000
2,7.78,-7.02,0.000
3,10.62,-1.01,0.000
4,12.14,-2.62,0.000